No. 1
Compound: YSb2Br
Source: Alexandria
Functional: PBE
Structure: optimized geometry

Summary:
formation energy without anion corrections	-0.6460	eV/atom
D(E_F)	0.192	states/eV/atom
space group	I4/mmm, No. 139
raw total energy	-4.741	eV per atom

a = 6.4606 Å, b = 6.4606 Å, c = 6.4606 Å
α = 140.77°, β = 140.77°, γ = 56.69°
Fractional coordinates of all 4 atoms:
Y 0.0000 0.0000 0.0000
Sb 0.2500 0.7500 0.5000
Sb 0.7500 0.2500 0.5000
Br 0.5000 0.5000 0.0000

***

No. 2
Compound: YSb2Br
Source: Alexandria
Functional: PBE
Structure: optimized geometry

Summary:
formation energy without anion corrections	-0.6207	eV/atom
D(E_F)	0.449	states/eV/atom
space group	P4/mmm, No. 123
raw total energy	-4.716	eV per atom

a = 4.2849 Å, b = 4.2849 Å, c = 5.8827 Å
α = 90.00°, β = 90.00°, γ = 90.00°
Fractional coordinates of all 4 atoms:
Y 0.0000 0.0000 0.0000
Sb 0.0000 0.5000 0.5000
Sb 0.5000 0.0000 0.5000
Br 0.5000 0.5000 0.0000

***

No. 3
Compound: Y2SbBr
Source: Alexandria
Functional: PBE
Structure: optimized geometry

Summary:
formation energy without anion corrections	-0.9794	eV/atom
D(E_F)	0.645	states/eV/atom
space group	Amm2, No. 38
raw total energy	-5.660	eV per atom

a = 4.4169 Å, b = 6.4162 Å, c = 6.4162 Å
α = 37.37°, β = 90.00°, γ = 90.00°
Fractional coordinates of all 4 atoms:
Y 0.0000 0.0000 0.0000
Y 0.5000 0.2633 0.2633
Sb 0.0000 0.7247 0.7247
Br 0.5000 0.4890 0.4890

***

No. 4
Compound: YSb4Br
Source: Alexandria
Functional: PBE
Structure: optimized geometry

Summary:
formation energy without anion corrections	-0.1880	eV/atom
D(E_F)	0.395	states/eV/atom
space group	F-43m, No. 216
raw total energy	-4.292	eV per atom

a = 6.2508 Å, b = 6.2508 Å, c = 6.2508 Å
α = 60.00°, β = 60.00°, γ = 60.00°
Fractional coordinates of all 6 atoms:
Y 0.0000 0.0000 0.0000
Sb 0.3754 0.3754 0.3754
Sb 0.3754 0.3754 0.8739
Sb 0.3754 0.8739 0.3754
Sb 0.8739 0.3754 0.3754
Br 0.7500 0.7500 0.7500

***

No. 5
Compound: YSb2Br
Source: Alexandria
Functional: PBE
Structure: optimized geometry

Summary:
formation energy without anion corrections	-0.6600	eV/atom
D(E_F)	0.282	states/eV/atom
space group	C2/m, No. 12
raw total energy	-4.755	eV per atom

a = 6.2629 Å, b = 6.2629 Å, c = 4.9624 Å
α = 102.83°, β = 102.83°, γ = 36.54°
Fractional coordinates of all 4 atoms:
Y 0.0000 0.0000 0.0000
Sb 0.2699 0.2699 0.8014
Sb 0.7301 0.7301 0.1986
Br 0.5000 0.5000 0.5000

***

No. 6
Compound: Y2SbBr
Source: Alexandria
Functional: PBE
Structure: optimized geometry

Summary:
formation energy without anion corrections	-0.6188	eV/atom
D(E_F)	0.799	states/eV/atom
space group	I-42d, No. 122
raw total energy	-5.300	eV per atom

a = 8.2865 Å, b = 8.2865 Å, c = 8.2865 Å
α = 132.97°, β = 132.97°, γ = 68.71°
Fractional coordinates of all 8 atoms:
Y 0.1178 0.6250 0.9928
Y 0.3750 0.3678 0.4928
Y 0.6322 0.1250 0.0072
Y 0.8750 0.8822 0.5072
Sb 0.2500 0.7500 0.5000
Sb 0.5000 0.5000 0.0000
Br 0.0000 0.0000 0.0000
Br 0.7500 0.2500 0.5000

***

No. 7
Compound: Y2SbBr
Source: Alexandria
Functional: PBE
Structure: optimized geometry

Summary:
formation energy without anion corrections	-1.0417	eV/atom
D(E_F)	0.667	states/eV/atom
space group	C2/m, No. 12
raw total energy	-5.723	eV per atom

a = 4.4380 Å, b = 4.4380 Å, c = 7.0976 Å
α = 108.12°, β = 108.12°, γ = 59.85°
Fractional coordinates of all 4 atoms:
Y 0.2468 0.2468 0.2411
Y 0.7532 0.7532 0.7589
Sb 0.5000 0.5000 0.0000
Br 0.0000 0.0000 0.5000

***

No. 8
Compound: Y2SbBr
Source: Alexandria
Functional: PBE
Structure: optimized geometry

Summary:
formation energy without anion corrections	-0.9131	eV/atom
D(E_F)	0.646	states/eV/atom
space group	C2/m, No. 12
raw total energy	-5.594	eV per atom

a = 5.2866 Å, b = 5.2866 Å, c = 3.7363 Å
α = 90.16°, β = 90.16°, γ = 90.00°
Fractional coordinates of all 4 atoms:
Y 0.0000 0.5000 0.0000
Y 0.5000 0.0000 0.0000
Sb 0.0000 0.0000 0.5000
Br 0.5000 0.5000 0.5000

***

No. 9
Compound: YSbBr3
Source: Alexandria
Functional: PBE
Structure: optimized geometry

Summary:
formation energy without anion corrections	0.0024	eV/atom
D(E_F)	1.215	states/eV/atom
space group	Pm-3m, No. 221
raw total energy	-3.119	eV per atom

a = 5.7152 Å, b = 5.7152 Å, c = 5.7152 Å
α = 90.00°, β = 90.00°, γ = 90.00°
Fractional coordinates of all 5 atoms:
Y 0.0000 0.0000 0.0000
Sb 0.5000 0.5000 0.5000
Br 0.0000 0.5000 0.5000
Br 0.5000 0.0000 0.5000
Br 0.5000 0.5000 0.0000

***

No. 10
Compound: Y2SbBr
Source: Alexandria
Functional: PBE
Structure: optimized geometry

Summary:
formation energy without anion corrections	-0.2071	eV/atom
D(E_F)	1.414	states/eV/atom
space group	F-43m, No. 216
raw total energy	-4.888	eV per atom

a = 5.4207 Å, b = 5.4207 Å, c = 5.4207 Å
α = 60.00°, β = 60.00°, γ = 60.00°
Fractional coordinates of all 4 atoms:
Y 0.0000 0.0000 0.0000
Y 0.2500 0.2500 0.2500
Sb 0.7500 0.7500 0.7500
Br 0.5000 0.5000 0.5000

***

No. 11
Compound: Y2SbBr2
Source: Alexandria
Functional: PBE
Structure: optimized geometry

Summary:
formation energy without anion corrections	-1.4863	eV/atom
D(E_F)	0.387	states/eV/atom
space group	R-3m, No. 166
raw total energy	-5.566	eV per atom

a = 10.8794 Å, b = 10.8794 Å, c = 10.8794 Å
α = 22.47°, β = 22.47°, γ = 22.47°
Fractional coordinates of all 5 atoms:
Y 0.1118 0.1118 0.1118
Y 0.8882 0.8882 0.8882
Sb 0.5000 0.5000 0.5000
Br 0.2755 0.2755 0.2755
Br 0.7245 0.7245 0.7245

***

No. 12
Compound: Y2SbBr
Source: Alexandria
Functional: PBE
Structure: optimized geometry

Summary:
formation energy without anion corrections	-0.7340	eV/atom
D(E_F)	0.774	states/eV/atom
space group	I-4m2, No. 119
raw total energy	-5.415	eV per atom

a = 6.9064 Å, b = 6.9064 Å, c = 6.9064 Å
α = 143.83°, β = 143.83°, γ = 52.07°
Fractional coordinates of all 4 atoms:
Y 0.0000 0.0000 0.0000
Y 0.7500 0.2500 0.5000
Sb 0.5000 0.5000 0.0000
Br 0.2500 0.7500 0.5000

***

No. 13
Compound: YSb2Br
Source: Alexandria
Functional: PBE
Structure: optimized geometry

Summary:
formation energy without anion corrections	-0.6580	eV/atom
D(E_F)	0.623	states/eV/atom
space group	Cm, No. 8
raw total energy	-4.753	eV per atom

a = 5.5311 Å, b = 5.5311 Å, c = 6.7283 Å
α = 109.02°, β = 109.02°, γ = 38.37°
Fractional coordinates of all 4 atoms:
Y 0.0000 0.0000 0.0000
Sb 0.3323 0.3323 0.5939
Sb 0.5454 0.5454 0.4200
Br 0.7187 0.7187 0.0247

***

No. 14
Compound: YSb2Br
Source: Alexandria
Functional: PBE
Structure: optimized geometry

Summary:
formation energy without anion corrections	-0.2980	eV/atom
D(E_F)	0.745	states/eV/atom
space group	P4/mmm, No. 123
raw total energy	-4.393	eV per atom

a = 5.6381 Å, b = 5.6381 Å, c = 3.4399 Å
α = 90.00°, β = 90.00°, γ = 90.00°
Fractional coordinates of all 4 atoms:
Y 0.0000 0.0000 0.0000
Sb 0.0000 0.5000 0.5000
Sb 0.5000 0.0000 0.5000
Br 0.5000 0.5000 0.0000

***

No. 15
Compound: Y2SbBr
Source: Alexandria
Functional: PBE
Structure: optimized geometry

Summary:
formation energy without anion corrections	-0.7211	eV/atom
D(E_F)	0.839	states/eV/atom
space group	P4mm, No. 99
raw total energy	-5.402	eV per atom

a = 3.5967 Å, b = 3.5967 Å, c = 9.6742 Å
α = 90.00°, β = 90.00°, γ = 90.00°
Fractional coordinates of all 4 atoms:
Y 0.0000 0.0000 0.0000
Y 0.5000 0.5000 0.2851
Sb 0.5000 0.5000 0.7966
Br 0.0000 0.0000 0.4480

***

No. 16
Compound: YSb2Br
Source: Alexandria
Functional: PBE
Structure: optimized geometry

Summary:
formation energy without anion corrections	-0.1352	eV/atom
D(E_F)	0.934	states/eV/atom
space group	Fm-3m, No. 225
raw total energy	-4.231	eV per atom

a = 5.4182 Å, b = 5.4182 Å, c = 5.4182 Å
α = 60.00°, β = 60.00°, γ = 60.00°
Fractional coordinates of all 4 atoms:
Y 0.0000 0.0000 0.0000
Sb 0.2500 0.2500 0.2500
Sb 0.7500 0.7500 0.7500
Br 0.5000 0.5000 0.5000

***

No. 17
Compound: Y2Sb2Br
Source: Alexandria
Functional: PBE
Structure: optimized geometry

Summary:
formation energy without anion corrections	-1.0736	eV/atom
D(E_F)	1.275	states/eV/atom
space group	P4/mbm, No. 127
raw total energy	-5.643	eV per atom

a = 8.1105 Å, b = 8.1105 Å, c = 4.2589 Å
α = 90.00°, β = 90.00°, γ = 90.00°
Fractional coordinates of all 10 atoms:
Y 0.1684 0.3316 0.0000
Y 0.3316 0.8316 0.0000
Y 0.6684 0.1684 0.0000
Y 0.8316 0.6684 0.0000
Sb 0.1310 0.6310 0.5000
Sb 0.3690 0.1310 0.5000
Sb 0.6310 0.8690 0.5000
Sb 0.8690 0.3690 0.5000
Br 0.0000 0.0000 0.0000
Br 0.5000 0.5000 0.0000

***

No. 18
Compound: Y2SbBr
Source: Alexandria
Functional: PBE
Structure: optimized geometry

Summary:
formation energy without anion corrections	-1.0208	eV/atom
D(E_F)	0.493	states/eV/atom
space group	R3m, No. 160
raw total energy	-5.702	eV per atom

a = 7.8916 Å, b = 7.8916 Å, c = 7.8916 Å
α = 31.08°, β = 31.08°, γ = 31.08°
Fractional coordinates of all 4 atoms:
Y 0.0000 0.0000 0.0000
Y 0.1822 0.1822 0.1822
Sb 0.5924 0.5924 0.5924
Br 0.4218 0.4218 0.4218

***

No. 19
Compound: YSb2Br
Source: Alexandria
Functional: PBE
Structure: optimized geometry

Summary:
formation energy without anion corrections	-0.5464	eV/atom
D(E_F)	0.437	states/eV/atom
space group	I-42d, No. 122
raw total energy	-4.642	eV per atom

a = 12.3815 Å, b = 12.3815 Å, c = 12.3815 Å
α = 159.44°, β = 159.44°, γ = 29.23°
Fractional coordinates of all 8 atoms:
Y 0.0000 0.0000 0.0000
Y 0.7500 0.2500 0.5000
Sb 0.0855 0.6250 0.9605
Sb 0.3750 0.3355 0.4605
Sb 0.6645 0.1250 0.0395
Sb 0.8750 0.9145 0.5395
Br 0.2500 0.7500 0.5000
Br 0.5000 0.5000 0.0000

***

No. 20
Compound: Y3SbBr
Source: Alexandria
Functional: PBE
Structure: optimized geometry

Summary:
formation energy without anion corrections	-0.2568	eV/atom
D(E_F)	1.448	states/eV/atom
space group	Pm-3m, No. 221
raw total energy	-5.294	eV per atom

a = 5.2992 Å, b = 5.2992 Å, c = 5.2992 Å
α = 90.00°, β = 90.00°, γ = 90.00°
Fractional coordinates of all 5 atoms:
Y 0.0000 0.0000 0.5000
Y 0.0000 0.5000 0.0000
Y 0.5000 0.0000 0.0000
Sb 0.5000 0.5000 0.5000
Br 0.0000 0.0000 0.0000

***

No. 21
Compound: YSb2Br
Source: Alexandria
Functional: PBE
Structure: optimized geometry

Summary:
formation energy without anion corrections	-0.6831	eV/atom
D(E_F)	0.503	states/eV/atom
space group	P4mm, No. 99
raw total energy	-4.779	eV per atom

a = 3.7925 Å, b = 3.7925 Å, c = 8.6185 Å
α = 90.00°, β = 90.00°, γ = 90.00°
Fractional coordinates of all 4 atoms:
Y 0.0000 0.0000 0.0000
Sb 0.0000 0.0000 0.6221
Sb 0.5000 0.5000 0.7897
Br 0.5000 0.5000 0.1973

***

No. 22
Compound: YSbBr6
Source: Alexandria
Functional: PBE
Structure: optimized geometry

Summary:
formation energy without anion corrections	-1.1908	eV/atom
D(E_F)	0.000	states/eV/atom
space group	C2/m, No. 12
raw total energy	-3.769	eV per atom

a = 7.4819 Å, b = 7.4819 Å, c = 6.9847 Å
α = 98.03°, β = 98.03°, γ = 124.36°
Fractional coordinates of all 8 atoms:
Y 0.0000 0.0000 0.0000
Sb 0.5000 0.5000 0.5000
Br 0.1036 0.3960 0.2487
Br 0.2486 0.2486 0.7497
Br 0.3960 0.1036 0.2487
Br 0.6040 0.8964 0.7513
Br 0.7514 0.7514 0.2503
Br 0.8964 0.6040 0.7513

***

No. 23
Compound: YSbBr3
Source: Alexandria
Functional: PBE
Structure: optimized geometry

Summary:
formation energy without anion corrections	-0.8468	eV/atom
D(E_F)	0.000	states/eV/atom
space group	Pm-3m, No. 221
raw total energy	-3.968	eV per atom

a = 5.6651 Å, b = 5.6651 Å, c = 5.6651 Å
α = 90.00°, β = 90.00°, γ = 90.00°
Fractional coordinates of all 5 atoms:
Y 0.0000 0.0000 0.0000
Sb 0.5000 0.5000 0.5000
Br 0.0000 0.0000 0.5000
Br 0.0000 0.5000 0.0000
Br 0.5000 0.0000 0.0000

***

No. 24
Compound: YSb2Br
Source: Alexandria
Functional: PBE
Structure: optimized geometry

Summary:
formation energy without anion corrections	-0.7285	eV/atom
D(E_F)	0.091	states/eV/atom
space group	Pm, No. 6
raw total energy	-4.824	eV per atom

a = 4.6413 Å, b = 3.9313 Å, c = 7.9414 Å
α = 90.00°, β = 91.67°, γ = 90.00°
Fractional coordinates of all 4 atoms:
Y 0.0000 0.0000 0.0000
Sb 0.3100 0.0000 0.3598
Sb 0.5080 0.5000 0.1283
Br 0.9376 0.5000 0.7381

***

No. 25
Compound: Y2SbBr
Source: Alexandria
Functional: PBE
Structure: optimized geometry

Summary:
formation energy without anion corrections	-1.0249	eV/atom
D(E_F)	0.605	states/eV/atom
space group	P2/m, No. 10
raw total energy	-5.706	eV per atom

a = 4.2841 Å, b = 4.3029 Å, c = 6.0360 Å
α = 90.00°, β = 90.22°, γ = 90.00°
Fractional coordinates of all 4 atoms:
Y 0.0000 0.0000 0.0000
Y 0.5000 0.5000 0.5000
Sb 0.0000 0.0000 0.5000
Br 0.5000 0.5000 0.0000

***

No. 26
Compound: Y2SbBr
Source: Alexandria
Functional: PBE
Structure: optimized geometry

Summary:
formation energy without anion corrections	-0.9949	eV/atom
D(E_F)	0.553	states/eV/atom
space group	Fm-3m, No. 225
raw total energy	-5.676	eV per atom

a = 5.2873 Å, b = 5.2873 Å, c = 5.2873 Å
α = 60.00°, β = 60.00°, γ = 60.00°
Fractional coordinates of all 4 atoms:
Y 0.2500 0.2500 0.2500
Y 0.7500 0.7500 0.7500
Sb 0.0000 0.0000 0.0000
Br 0.5000 0.5000 0.5000

***

No. 27
Compound: Zn2SbBr
Source: Alexandria
Functional: PBE
Structure: optimized geometry

Summary:
formation energy without anion corrections	0.0362	eV/atom
D(E_F)	0.269	states/eV/atom
space group	P2/m, No. 10
raw total energy	-2.050	eV per atom

a = 5.6479 Å, b = 4.4264 Å, c = 5.7928 Å
α = 90.00°, β = 98.89°, γ = 90.00°
Fractional coordinates of all 4 atoms:
Zn 0.2140 0.0000 0.4933
Zn 0.7860 0.0000 0.5067
Sb 0.5000 0.5000 0.5000
Br 0.5000 0.5000 0.0000

***

No. 28
Compound: ZnSbBr2
Source: Alexandria
Functional: PBE
Structure: optimized geometry

Summary:
formation energy without anion corrections	-0.3162	eV/atom
D(E_F)	0.331	states/eV/atom
space group	Pm, No. 6
raw total energy	-2.502	eV per atom

a = 5.5255 Å, b = 3.6136 Å, c = 5.8785 Å
α = 90.00°, β = 100.94°, γ = 90.00°
Fractional coordinates of all 4 atoms:
Zn 0.0000 0.0000 0.0000
Sb 0.2916 0.5000 0.2926
Br 0.5891 0.5000 0.9768
Br 0.9500 0.0000 0.5808

***

No. 29
Compound: ZnSbBr2
Source: Alexandria
Functional: PBE
Structure: optimized geometry

Summary:
formation energy without anion corrections	0.1036	eV/atom
D(E_F)	0.145	states/eV/atom
space group	I-42d, No. 122
raw total energy	-2.082	eV per atom

a = 7.4484 Å, b = 7.4484 Å, c = 7.4484 Å
α = 116.80°, β = 116.80°, γ = 95.63°
Fractional coordinates of all 8 atoms:
Zn 0.0000 0.0000 0.0000
Zn 0.7500 0.2500 0.5000
Sb 0.2500 0.7500 0.5000
Sb 0.5000 0.5000 0.0000
Br 0.3750 0.2408 0.3658
Br 0.7592 0.1250 0.1342
Br 0.8750 0.0092 0.6342
Br 0.9908 0.6250 0.8658